# 1
KCa2Rh after structural relaxation, computed with GGA-PBE.

magnetization	0.00	μB/atom
V	115	Å³/f.u.
DFT formation energy	328	meV/atom
energy above the most stable polymorph in this dataset	485	meV/atom
crystal system	cubic

```
data_KCa2Rh
_cell_length_a 7.7184
_cell_length_b 7.7184
_cell_length_c 7.7184
_cell_angle_alpha 90.00
_cell_angle_beta 90.00
_cell_angle_gamma 90.00
_symmetry_space_group_name_H-M 'F -4 3 m'
_symmetry_Int_Tables_number 216
_symmetry_space_group_name_Hall 'F -4 2 3'
loop_
_atom_site_label
_atom_site_fract_x
_atom_site_fract_y
_atom_site_fract_z
K1 0.0000 0.0000 0.0000
Ca1 0.0000 0.0000 0.5000
Ca2 0.2500 0.2500 0.7500
Rh1 0.2500 0.2500 0.2500
```

# 2
K2CaRh after structural relaxation, computed with GGA-PBE.

magnetization	0.12	μB/atom
V	125	Å³/f.u.
DFT formation energy	447	meV/atom
crystal system	orthorhombic

```
data_K2CaRh
_cell_length_a 4.5327
_cell_length_b 4.6230
_cell_length_c 5.9529
_cell_angle_alpha 90.00
_cell_angle_beta 90.00
_cell_angle_gamma 90.00
_symmetry_space_group_name_H-M 'P m m m'
_symmetry_Int_Tables_number 47
loop_
_symmetry_equiv_pos_as_xyz
'x,y,z'
'-x,-y,-z'
'-x,-y,z'
'x,y,-z'
'x,-y,-z'
'-x,y,z'
'-x,y,-z'
'x,-y,z'
loop_
_atom_site_label
_atom_site_fract_x
_atom_site_fract_y
_atom_site_fract_z
K1 0.0000 0.0000 0.0000
K2 0.5000 0.5000 0.0000
Ca1 0.0000 0.5000 0.5000
Rh1 0.5000 0.0000 0.5000
```

# 3
K2CaRh after structural relaxation, computed with GGA-PBE.

magnetization	0.00	μB/atom
V	159	Å³/f.u.
DFT formation energy	124	meV/atom
crystal system	monoclinic

```
data_K2CaRh
_cell_length_a 20.3317
_cell_length_b 3.5211
_cell_length_c 4.5424
_cell_angle_alpha 90.00
_cell_angle_beta 102.74
_cell_angle_gamma 90.00
_symmetry_space_group_name_H-M 'C 1 2/m 1'
_symmetry_Int_Tables_number 12
loop_
_symmetry_equiv_pos_as_xyz
'x,y,z'
'-x,-y,-z'
'-x,y,-z'
'x,-y,z'
'x+1/2,y+1/2,z'
'-x+1/2,-y+1/2,-z'
'-x+1/2,y+1/2,-z'
'x+1/2,-y+1/2,z'
loop_
_atom_site_label
_atom_site_fract_x
_atom_site_fract_y
_atom_site_fract_z
K1 0.1519 0.0000 0.1489
Ca1 0.0000 0.0000 0.5000
Rh1 0.0000 0.5000 0.0000
```

# 4
KCa3Rh after structural relaxation, computed with GGA-PBE.

magnetization	0.00	μB/atom
V	232	Å³/f.u.
DFT formation energy	118	meV/atom
energy above the most stable polymorph in this dataset	309	meV/atom
crystal system	hexagonal

```
data_KCa3Rh
_cell_length_a 4.6720
_cell_length_b 4.6720
_cell_length_c 24.5655
_cell_angle_alpha 90.00
_cell_angle_beta 90.00
_cell_angle_gamma 120.00
_symmetry_space_group_name_H-M 'P 63/m m c'
_symmetry_Int_Tables_number 194
_symmetry_space_group_name_Hall '-P 6c 2c'
loop_
_atom_site_label
_atom_site_fract_x
_atom_site_fract_y
_atom_site_fract_z
K1 0.0000 0.0000 0.0000
Ca1 0.0000 0.0000 0.2500
Ca2 0.3333 0.6667 0.1408
Rh1 0.3333 0.6667 0.2500
```

# 5
KCa2Rh after structural relaxation, computed with GGA-PBE.

magnetization	0.00	μB/atom
V	206	Å³/f.u.
DFT formation energy	158	meV/atom
energy above the most stable polymorph in this dataset	314	meV/atom
crystal system	tetragonal

```
data_KCa2Rh
_cell_length_a 8.3886
_cell_length_b 8.3886
_cell_length_c 11.7175
_cell_angle_alpha 90.00
_cell_angle_beta 90.00
_cell_angle_gamma 90.00
_symmetry_space_group_name_H-M 'I -4 2 d'
_symmetry_Int_Tables_number 122
_symmetry_space_group_name_Hall 'I -4 2bw'
loop_
_atom_site_label
_atom_site_fract_x
_atom_site_fract_y
_atom_site_fract_z
K1 0.0000 0.0000 0.0000
Ca1 0.0039 0.2500 0.6250
Rh1 0.0000 0.0000 0.5000
```

# 6
KCa3Rh after structural relaxation, computed with GGA-PBE.

magnetization	0.00	μB/atom
V	186	Å³/f.u.
DFT formation energy	-169	meV/atom
energy above the most stable polymorph in this dataset	21	meV/atom
crystal system	cubic

```
data_KCa3Rh
_cell_length_a 5.7046
_cell_length_b 5.7046
_cell_length_c 5.7046
_cell_angle_alpha 90.00
_cell_angle_beta 90.00
_cell_angle_gamma 90.00
_symmetry_space_group_name_H-M 'P m -3 m'
_symmetry_Int_Tables_number 221
_symmetry_space_group_name_Hall '-P 4 2 3'
loop_
_atom_site_label
_atom_site_fract_x
_atom_site_fract_y
_atom_site_fract_z
K1 0.0000 0.0000 0.0000
Ca1 0.0000 0.5000 0.5000
Rh1 0.5000 0.5000 0.5000
```